This record from Alexandria via LeMat-Bulk describes crystalline CaTl4Hg5 at its relaxed geometry. The functional is GGA-PBE.

Geometry as CIF:
```
data_CaTl4Hg5
_cell_length_a 3.9829
_cell_length_b 3.9829
_cell_length_c 17.7976
_cell_angle_alpha 90.00
_cell_angle_beta 90.00
_cell_angle_gamma 90.00
_space_group_name_H-M_alt 'P 1'
_space_group_IT_number 1
_space_group_name_Hall 'P 1'
loop_
_atom_site_label
_atom_site_type_symbol
_atom_site_fract_x
_atom_site_fract_y
_atom_site_fract_z
_atom_site_occupancy
Hg1 Hg 0.5000 0.5000 0.9066 1
Hg2 Hg 0.5000 0.5000 0.5000 1
Ca1 Ca 0.0000 0.0000 0.0000 1
Hg3 Hg 0.5000 0.5000 0.0934 1
Tl1 Tl 0.0000 0.0000 0.6037 1
Hg4 Hg 0.5000 0.5000 0.2943 1
Hg5 Hg 0.5000 0.5000 0.7057 1
Tl2 Tl 0.0000 0.0000 0.3963 1
Tl3 Tl 0.0000 0.0000 0.1945 1
Tl4 Tl 0.0000 0.0000 0.8055 1
```

- Density: 10.9 Mg/m³
- Relative energy among the computed polymorphs: 0 meV/atom
- Formation energy: -1.30 eV per formula unit

---

This record from Alexandria via LeMat-Bulk describes crystalline Tl6I5F at its relaxed geometry. The functional is GGA-PBE.

Geometry as CIF:
```
data_Tl6I5F
_cell_length_a 8.4263
_cell_length_b 8.5646
_cell_length_c 8.5418
_cell_angle_alpha 79.87
_cell_angle_beta 60.45
_cell_angle_gamma 69.12
_space_group_name_H-M_alt 'P 1'
_space_group_IT_number 1
_space_group_name_Hall 'P 1'
loop_
_atom_site_label
_atom_site_type_symbol
_atom_site_fract_x
_atom_site_fract_y
_atom_site_fract_z
_atom_site_occupancy
I1 I 0.6591 0.0000 0.6818 1
Tl1 Tl 0.0857 0.7554 0.3165 1
Tl2 Tl 0.4022 0.7554 0.6835 1
Tl3 Tl 0.8216 0.8097 0.0000 1
Tl4 Tl 0.1784 0.1903 0.0000 1
F1 F 0.0000 0.0000 0.0000 1
I2 I 0.1782 0.5000 0.6436 1
I3 I 0.3409 0.0000 0.3182 1
I4 I 0.8218 0.5000 0.3564 1
Tl5 Tl 0.9143 0.2446 0.6835 1
Tl6 Tl 0.5978 0.2446 0.3165 1
I5 I 0.5000 0.5000 0.0000 1
```

- Density: 6.2 Mg/m³
- Uncorrected formation energy: -936 kJ/mol of formula units

---

This record from Alexandria via LeMat-Bulk describes crystalline ThSc4Cu5 at its relaxed geometry. The functional is GGA-PBE.

Geometry as CIF:
```
data_ThSc4Cu5
_cell_length_a 3.2844
_cell_length_b 3.2844
_cell_length_c 16.9891
_cell_angle_alpha 90.00
_cell_angle_beta 90.00
_cell_angle_gamma 90.00
_space_group_name_H-M_alt 'P 1'
_space_group_IT_number 1
_space_group_name_Hall 'P 1'
loop_
_atom_site_label
_atom_site_type_symbol
_atom_site_fract_x
_atom_site_fract_y
_atom_site_fract_z
_atom_site_occupancy
Sc1 Sc 0.0000 0.0000 0.7865 1
Sc2 Sc 0.0000 0.0000 0.5956 1
Cu1 Cu 0.5000 0.5000 0.3080 1
Cu2 Cu 0.5000 0.5000 0.1239 1
Sc3 Sc 0.0000 0.0000 0.2135 1
Cu3 Cu 0.5000 0.5000 0.6920 1
Cu4 Cu 0.5000 0.5000 0.8761 1
Th1 Th 0.0000 0.0000 0.0000 1
Cu5 Cu 0.5000 0.5000 0.5000 1
Sc4 Sc 0.0000 0.0000 0.4044 1
```

- Density: 6.6 Mg/m³
- Formation energy: -2.30 eV per formula unit

---

This record from Alexandria via LeMat-Bulk describes crystalline K3Dy3NbO8 at its relaxed geometry. The functional is GGA-PBE.

Geometry as CIF:
```
data_K3Dy3NbO8
_cell_length_a 6.8332
_cell_length_b 6.8332
_cell_length_c 7.4135
_cell_angle_alpha 117.45
_cell_angle_beta 90.00
_cell_angle_gamma 120.00
_space_group_name_H-M_alt 'P 1'
_space_group_IT_number 1
_space_group_name_Hall 'P 1'
loop_
_atom_site_label
_atom_site_type_symbol
_atom_site_fract_x
_atom_site_fract_y
_atom_site_fract_z
_atom_site_occupancy
O1 O 0.7460 0.9582 0.6704 1
K1 K 0.0000 0.5000 0.0000 1
K2 K 0.0000 0.0000 0.0000 1
O2 O 0.7877 0.5754 0.3296 1
Dy1 Dy 0.5000 0.0000 0.5000 1
Dy2 Dy 0.5000 0.5000 0.5000 1
Nb1 Nb 0.0000 0.0000 0.5000 1
K3 K 0.5000 0.5000 0.0000 1
Dy3 Dy 0.0000 0.5000 0.5000 1
O3 O 0.2717 0.5434 0.3151 1
O4 O 0.7283 0.4566 0.6849 1
O5 O 0.2540 0.0418 0.3296 1
O6 O 0.7877 0.0418 0.3296 1
O7 O 0.2123 0.4246 0.6704 1
O8 O 0.2123 0.9582 0.6704 1
```

- Density: 5.4 Mg/m³
- Uncorrected formation energy: -3911 kJ/mol of formula units

---

This record from Alexandria via LeMat-Bulk describes crystalline Sr2Al3Zn4In at its relaxed geometry. The functional is GGA-PBE.

Geometry as CIF:
```
data_Sr2Al3Zn4In
_cell_length_a 4.4593
_cell_length_b 4.4593
_cell_length_c 11.0572
_cell_angle_alpha 90.00
_cell_angle_beta 90.00
_cell_angle_gamma 90.00
_space_group_name_H-M_alt 'P 1'
_space_group_IT_number 1
_space_group_name_Hall 'P 1'
loop_
_atom_site_label
_atom_site_type_symbol
_atom_site_fract_x
_atom_site_fract_y
_atom_site_fract_z
_atom_site_occupancy
Zn1 Zn 0.0000 0.0000 0.0000 1
Sr1 Sr 0.0000 0.5000 0.7586 1
Zn2 Zn 0.0000 0.5000 0.3554 1
Sr2 Sr 0.5000 0.0000 0.2414 1
Al1 Al 0.0000 0.5000 0.1240 1
Al2 Al 0.5000 0.0000 0.8760 1
In1 In 0.5000 0.5000 0.5000 1
Zn3 Zn 0.5000 0.0000 0.6446 1
Al3 Al 0.0000 0.0000 0.5000 1
Zn4 Zn 0.5000 0.5000 0.0000 1
```

- Density: 4.8 Mg/m³
- Formation energy: -2.48 eV per formula unit

---

This record from Alexandria via LeMat-Bulk describes crystalline TaTiCuRu at its relaxed geometry. The functional is GGA-PBE.

Geometry as CIF:
```
data_TaTiCuRu
_cell_length_a 4.4193
_cell_length_b 4.4193
_cell_length_c 4.4193
_cell_angle_alpha 60.00
_cell_angle_beta 60.00
_cell_angle_gamma 60.00
_space_group_name_H-M_alt 'P 1'
_space_group_IT_number 1
_space_group_name_Hall 'P 1'
loop_
_atom_site_label
_atom_site_type_symbol
_atom_site_fract_x
_atom_site_fract_y
_atom_site_fract_z
_atom_site_occupancy
Ta1 Ta 0.7500 0.7500 0.7500 1
Cu1 Cu 0.5000 0.5000 0.5000 1
Ti1 Ti 0.2500 0.2500 0.2500 1
Ru1 Ru 0.0000 0.0000 0.0000 1
```

- Density: 10.7 Mg/m³
- Formation energy: -0.79 eV per formula unit

---

This record from Alexandria via LeMat-Bulk describes crystalline AsPtSe2 at its relaxed geometry. The functional is GGA-PBE.

Geometry as CIF:
```
data_AsPtSe2
_cell_length_a 8.0572
_cell_length_b 8.0572
_cell_length_c 3.6173
_cell_angle_alpha 78.66
_cell_angle_beta 78.66
_cell_angle_gamma 24.69
_space_group_name_H-M_alt 'P 1'
_space_group_IT_number 1
_space_group_name_Hall 'P 1'
loop_
_atom_site_label
_atom_site_type_symbol
_atom_site_fract_x
_atom_site_fract_y
_atom_site_fract_z
_atom_site_occupancy
As1 As 0.5621 0.5621 0.4164 1
Pt1 Pt 0.2014 0.2014 0.3012 1
Se1 Se 0.7457 0.7457 0.7605 1
Se2 Se 0.9908 0.9908 0.0218 1
```

- Density: 7.4 Mg/m³
- Uncorrected formation energy: 29 kJ/mol of formula units

---

This record from Alexandria via LeMat-Bulk describes crystalline RePSeCl2 at its relaxed geometry. The functional is GGA-PBE.

Geometry as CIF:
```
data_RePSeCl2
_cell_length_a 4.6523
_cell_length_b 4.6523
_cell_length_c 4.7938
_cell_angle_alpha 90.00
_cell_angle_beta 90.00
_cell_angle_gamma 90.00
_space_group_name_H-M_alt 'P 1'
_space_group_IT_number 1
_space_group_name_Hall 'P 1'
loop_
_atom_site_label
_atom_site_type_symbol
_atom_site_fract_x
_atom_site_fract_y
_atom_site_fract_z
_atom_site_occupancy
Cl1 Cl 0.0000 0.5000 0.0000 1
Re1 Re 0.0000 0.0000 0.0000 1
P1 P 0.0000 0.0000 0.5000 1
Se1 Se 0.5000 0.5000 0.5000 1
Cl2 Cl 0.5000 0.0000 0.0000 1
```

- Density: 5.9 Mg/m³
- Relative energy among the computed polymorphs: 0 meV/atom
- Uncorrected formation energy: 262 kJ/mol of formula units

---

This record from Alexandria via LeMat-Bulk describes crystalline CdRhAu3 at its relaxed geometry. The functional is GGA-PBE.

Geometry as CIF:
```
data_CdRhAu3
_cell_length_a 5.0277
_cell_length_b 5.0277
_cell_length_c 5.0277
_cell_angle_alpha 90.00
_cell_angle_beta 90.00
_cell_angle_gamma 90.00
_space_group_name_H-M_alt 'P 1'
_space_group_IT_number 1
_space_group_name_Hall 'P 1'
loop_
_atom_site_label
_atom_site_type_symbol
_atom_site_fract_x
_atom_site_fract_y
_atom_site_fract_z
_atom_site_occupancy
Cd1 Cd 0.5000 0.5000 0.5000 1
Au1 Au 0.5000 0.0000 0.0000 1
Rh1 Rh 0.0000 0.0000 0.0000 1
Au2 Au 0.0000 0.5000 0.0000 1
Au3 Au 0.0000 0.0000 0.5000 1
```

- Density: 10.5 Mg/m³
- Relative energy among the computed polymorphs: 0 meV/atom
- Formation energy: 3.86 eV per formula unit

---

This record from Alexandria via LeMat-Bulk describes crystalline Cs3ZrN at its relaxed geometry. The functional is GGA-PBE.

Geometry as CIF:
```
data_Cs3ZrN
_cell_length_a 6.9122
_cell_length_b 6.9122
_cell_length_c 6.9122
_cell_angle_alpha 90.00
_cell_angle_beta 90.00
_cell_angle_gamma 90.00
_space_group_name_H-M_alt 'P 1'
_space_group_IT_number 1
_space_group_name_Hall 'P 1'
loop_
_atom_site_label
_atom_site_type_symbol
_atom_site_fract_x
_atom_site_fract_y
_atom_site_fract_z
_atom_site_occupancy
N1 N 0.5000 0.5000 0.5000 1
Cs1 Cs 0.0000 0.0000 0.5000 1
Zr1 Zr 0.0000 0.0000 0.0000 1
Cs2 Cs 0.5000 0.0000 0.0000 1
Cs3 Cs 0.0000 0.5000 0.0000 1
```

- Density: 2.5 Mg/m³
- Uncorrected formation energy: 854 kJ/mol of formula units

---

This record from Alexandria via LeMat-Bulk describes crystalline Hg2MoBr2 at its relaxed geometry. The functional is GGA-PBE.

Geometry as CIF:
```
data_Hg2MoBr2
_cell_length_a 7.0257
_cell_length_b 7.0257
_cell_length_c 7.1248
_cell_angle_alpha 90.00
_cell_angle_beta 90.00
_cell_angle_gamma 90.00
_space_group_name_H-M_alt 'P 1'
_space_group_IT_number 1
_space_group_name_Hall 'P 1'
loop_
_atom_site_label
_atom_site_type_symbol
_atom_site_fract_x
_atom_site_fract_y
_atom_site_fract_z
_atom_site_occupancy
Mo1 Mo 0.0000 0.0000 0.0000 1
Br1 Br 0.1705 0.3295 0.0000 1
Mo2 Mo 0.5000 0.5000 0.0000 1
Br2 Br 0.6705 0.1705 0.0000 1
Hg1 Hg 0.6714 0.8286 0.5000 1
Br3 Br 0.8295 0.6705 0.0000 1
Hg2 Hg 0.1714 0.6714 0.5000 1
Br4 Br 0.3295 0.8295 0.0000 1
Hg3 Hg 0.3286 0.1714 0.5000 1
Hg4 Hg 0.8286 0.3286 0.5000 1
```

- Density: 6.2 Mg/m³
- Relative energy among the computed polymorphs: 0 meV/atom
- Uncorrected formation energy: 73 kJ/mol of formula units

---

This record from Alexandria via LeMat-Bulk describes crystalline LaNiGe2Ru at its relaxed geometry. The functional is GGA-PBE.

Geometry as CIF:
```
data_LaNiGe2Ru
_cell_length_a 4.1248
_cell_length_b 4.1248
_cell_length_c 6.1339
_cell_angle_alpha 109.65
_cell_angle_beta 109.65
_cell_angle_gamma 90.00
_space_group_name_H-M_alt 'P 1'
_space_group_IT_number 1
_space_group_name_Hall 'P 1'
loop_
_atom_site_label
_atom_site_type_symbol
_atom_site_fract_x
_atom_site_fract_y
_atom_site_fract_z
_atom_site_occupancy
Ge1 Ge 0.3706 0.3706 0.7411 1
Ni1 Ni 0.7500 0.2500 0.5000 1
Ru1 Ru 0.2500 0.7500 0.5000 1
Ge2 Ge 0.6294 0.6294 0.2589 1
La1 La 0.0000 0.0000 0.0000 1
```

- Density: 8.0 Mg/m³
- Formation energy: -3.25 eV per formula unit